1.
# CaMgSiO4 (GGA-PBEsol, optimized geometry)
# raw formation energy: -2.995 eV/atom
# E above lowest polymorph: 0.0 meV per atom
# D(E_F): 0.00 states/eV/cell
data_CaMgSiO4
_space_group_name_H-M_alt 'P n m a'
_space_group_IT_number 62
_space_group_name_Hall '-P 2ac 2n'
_cell_length_a 11.086
_cell_length_b 6.361
_cell_length_c 4.825
_cell_angle_alpha 90.00
_cell_angle_beta 90.00
_cell_angle_gamma 90.00
loop_
_atom_site_label
_atom_site_fract_x
_atom_site_fract_y
_atom_site_fract_z
Ca1 0.224 0.250 0.021
Mg1 0.000 0.000 0.500
Si1 0.081 0.750 0.087
O1 0.053 0.250 0.754
O2 0.077 0.750 0.749
O3 0.148 0.544 0.227

2.
# Ca3MgSi2O8 (GGA-PBEsol, optimized geometry)
# raw formation energy: -3.030 eV/atom
# D(E_F): 0.00 states/eV/cell
data_Ca3MgSi2O8
_space_group_name_H-M_alt 'P 1 21/c 1'
_space_group_IT_number 14
_space_group_name_Hall '-P 2ybc'
_cell_length_a 9.354
_cell_length_b 5.290
_cell_length_c 13.247
_cell_angle_alpha 90.00
_cell_angle_beta 92.33
_cell_angle_gamma 90.00
loop_
_atom_site_label
_atom_site_fract_x
_atom_site_fract_y
_atom_site_fract_z
Ca1 0.072 0.230 0.421
Ca2 0.218 0.676 0.258
Ca3 0.423 0.241 0.098
Mg1 0.254 0.741 0.504
Si1 0.094 0.226 0.143
Si2 0.396 0.226 0.368
O1 0.059 0.701 0.423
O2 0.066 0.189 0.757
O3 0.175 0.040 0.584
O4 0.188 0.530 0.628
O5 0.300 0.091 0.939
O6 0.325 0.559 0.874
O7 0.400 0.136 0.758
O8 0.447 0.713 0.072

3.
# Ca2Mg5Si8O24 (GGA-PBEsol, optimized geometry)
# raw formation energy: -2.765 eV/atom
# D(E_F): 10.97 states/eV/cell
data_Ca2Mg5Si8O24
_space_group_name_H-M_alt 'C 1 2/m 1'
_space_group_IT_number 12
_space_group_name_Hall '-C 2y'
_cell_length_a 9.924
_cell_length_b 18.185
_cell_length_c 5.280
_cell_angle_alpha 90.00
_cell_angle_beta 104.84
_cell_angle_gamma 90.00
loop_
_atom_site_label
_atom_site_fract_x
_atom_site_fract_y
_atom_site_fract_z
Ca1 0.000 0.220 0.000
Mg1 0.000 0.322 0.500
Mg2 0.000 0.405 0.000
Mg3 0.000 0.500 0.500
Si1 0.211 0.172 0.697
Si2 0.221 0.084 0.206
O1 0.086 0.500 0.178
O2 0.111 0.412 0.710
O3 0.119 0.326 0.224
O4 0.132 0.248 0.711
O5 0.153 0.135 0.399
O6 0.157 0.119 0.912
O7 0.166 0.000 0.213

4.
# CaMgSiO4 (GGA-PBEsol, optimized geometry)
# raw formation energy: -2.951 eV/atom
# E above lowest polymorph: 44.5 meV per atom
# D(E_F): 0.00 states/eV/cell
data_CaMgSiO4
_space_group_name_H-M_alt 'P n m a'
_space_group_IT_number 62
_space_group_name_Hall '-P 2ac 2n'
_cell_length_a 9.067
_cell_length_b 6.762
_cell_length_c 5.171
_cell_angle_alpha 90.00
_cell_angle_beta 90.00
_cell_angle_gamma 90.00
loop_
_atom_site_label
_atom_site_fract_x
_atom_site_fract_y
_atom_site_fract_z
Ca1 0.145 0.250 0.022
Mg1 0.000 0.000 0.500
Si1 0.180 0.750 0.029
O1 0.118 0.558 0.184
O2 0.120 0.750 0.728
O3 0.138 0.250 0.557

5.
# SrCaMg30O32 (GGA-PBEsol, optimized geometry)
# raw formation energy: -2.705 eV/atom
# D(E_F): 0.00 states/eV/cell
data_SrCaMg30O32
_space_group_name_H-M_alt 'P 4/m m m'
_space_group_IT_number 123
_space_group_name_Hall '-P 4 2'
_cell_length_a 8.562
_cell_length_b 8.562
_cell_length_c 8.558
_cell_angle_alpha 90.00
_cell_angle_beta 90.00
_cell_angle_gamma 90.00
loop_
_atom_site_label
_atom_site_fract_x
_atom_site_fract_y
_atom_site_fract_z
Sr1 0.000 0.000 0.000
Ca1 0.500 0.500 0.000
Mg1 0.000 0.000 0.500
Mg2 0.000 0.255 0.255
Mg3 0.000 0.500 0.000
Mg4 0.000 0.500 0.500
Mg5 0.248 0.500 0.253
Mg6 0.250 0.250 0.500
Mg7 0.252 0.252 0.000
Mg8 0.500 0.500 0.500
O1 0.000 0.000 0.270
O2 0.000 0.253 0.500
O3 0.000 0.269 0.000
O4 0.000 0.500 0.256
O5 0.241 0.500 0.000
O6 0.249 0.500 0.500
O7 0.250 0.250 0.250
O8 0.500 0.500 0.262

6.
# CaMg14TiO16 (GGA-PBEsol, optimized geometry)
# raw formation energy: -2.668 eV/atom
# D(E_F): 5.18 states/eV/cell
data_CaMg14TiO16
_space_group_name_H-M_alt 'P m m m'
_space_group_IT_number 47
_space_group_name_Hall '-P 2 2'
_cell_length_a 4.276
_cell_length_b 8.545
_cell_length_c 8.576
_cell_angle_alpha 90.00
_cell_angle_beta 90.00
_cell_angle_gamma 90.00
loop_
_atom_site_label
_atom_site_fract_x
_atom_site_fract_y
_atom_site_fract_z
Ca1 0.000 0.000 0.000
Mg1 0.000 0.254 0.252
Mg2 0.000 0.500 0.000
Mg3 0.000 0.500 0.500
Mg4 0.500 0.000 0.252
Mg5 0.500 0.253 0.500
Mg6 0.500 0.256 0.000
Mg7 0.500 0.500 0.250
Ti1 0.000 0.000 0.500
O1 0.000 0.000 0.258
O2 0.000 0.256 0.500
O3 0.000 0.264 0.000
O4 0.000 0.500 0.252
O5 0.500 0.000 0.000
O6 0.500 0.000 0.500
O7 0.500 0.250 0.250
O8 0.500 0.500 0.000
O9 0.500 0.500 0.500

7.
# CaMgTl2O (GGA-PBEsol, optimized geometry)
# raw formation energy: -0.724 eV/atom
# D(E_F): 2.98 states/eV/cell
data_CaMgTl2O
_space_group_name_H-M_alt 'P 4/m m m'
_space_group_IT_number 123
_space_group_name_Hall '-P 4 2'
_cell_length_a 5.567
_cell_length_b 5.567
_cell_length_c 3.755
_cell_angle_alpha 90.00
_cell_angle_beta 90.00
_cell_angle_gamma 90.00
loop_
_atom_site_label
_atom_site_fract_x
_atom_site_fract_y
_atom_site_fract_z
Ca1 0.000 0.000 0.000
Mg1 0.500 0.500 0.000
Tl1 0.000 0.500 0.500
O1 0.500 0.500 0.500

8.
# CaMg14ZnO16 (GGA-PBEsol, optimized geometry)
# raw formation energy: -2.645 eV/atom
# D(E_F): 0.00 states/eV/cell
data_CaMg14ZnO16
_space_group_name_H-M_alt 'P 4/m m m'
_space_group_IT_number 123
_space_group_name_Hall '-P 4 2'
_cell_length_a 8.520
_cell_length_b 8.520
_cell_length_c 4.284
_cell_angle_alpha 90.00
_cell_angle_beta 90.00
_cell_angle_gamma 90.00
loop_
_atom_site_label
_atom_site_fract_x
_atom_site_fract_y
_atom_site_fract_z
Ca1 0.000 0.000 0.000
Mg1 0.000 0.256 0.500
Mg2 0.000 0.500 0.000
Mg3 0.251 0.500 0.500
Mg4 0.253 0.253 0.000
Zn1 0.500 0.500 0.000
O1 0.000 0.000 0.500
O2 0.000 0.263 0.000
O3 0.000 0.500 0.500
O4 0.250 0.250 0.500
O5 0.250 0.500 0.000
O6 0.500 0.500 0.500

9.
# CaMg14ZnO16 (GGA-PBEsol, optimized geometry)
# raw formation energy: -2.645 eV/atom
# D(E_F): 0.00 states/eV/cell
data_CaMg14ZnO16
_space_group_name_H-M_alt 'P m m m'
_space_group_IT_number 47
_space_group_name_Hall '-P 2 2'
_cell_length_a 4.288
_cell_length_b 8.500
_cell_length_c 8.538
_cell_angle_alpha 90.00
_cell_angle_beta 90.00
_cell_angle_gamma 90.00
loop_
_atom_site_label
_atom_site_fract_x
_atom_site_fract_y
_atom_site_fract_z
Ca1 0.000 0.000 0.000
Mg1 0.000 0.000 0.500
Mg2 0.000 0.254 0.254
Mg3 0.000 0.500 0.500
Mg4 0.500 0.000 0.255
Mg5 0.500 0.251 0.500
Mg6 0.500 0.256 0.000
Mg7 0.500 0.500 0.250
Zn1 0.000 0.500 0.000
O1 0.000 0.000 0.263
O2 0.000 0.252 0.500
O3 0.000 0.262 0.000
O4 0.000 0.500 0.257
O5 0.500 0.000 0.000
O6 0.500 0.000 0.500
O7 0.500 0.250 0.249
O8 0.500 0.500 0.000
O9 0.500 0.500 0.500

10.
# CaMg4Os (GGA-PBEsol, optimized geometry)
# D(E_F): 28.73 states/eV/cell
# formation energy from the elements: 0.415 eV/atom
data_CaMg4Os
_space_group_name_H-M_alt 'F -4 3 m'
_space_group_IT_number 216
_space_group_name_Hall 'F -4 2 3'
_cell_length_a 7.842
_cell_length_b 7.842
_cell_length_c 7.842
_cell_angle_alpha 90.00
_cell_angle_beta 90.00
_cell_angle_gamma 90.00
loop_
_atom_site_label
_atom_site_fract_x
_atom_site_fract_y
_atom_site_fract_z
Ca1 0.000 0.000 0.000
Mg1 0.123 0.123 0.377
Os1 0.250 0.250 0.750

11.
# CaMgOs2 (GGA-PBEsol, optimized geometry)
# D(E_F): 3.34 states/eV/cell
# formation energy from the elements: 0.312 eV/atom
data_CaMgOs2
_space_group_name_H-M_alt 'P m m 2'
_space_group_IT_number 25
_space_group_name_Hall 'P 2 -2'
_cell_length_a 2.874
_cell_length_b 3.582
_cell_length_c 7.659
_cell_angle_alpha 90.00
_cell_angle_beta 90.00
_cell_angle_gamma 90.00
loop_
_atom_site_label
_atom_site_fract_x
_atom_site_fract_y
_atom_site_fract_z
Ca1 0.000 0.000 0.000
Mg1 0.500 0.500 0.349
Os1 0.000 0.000 0.580
Os2 0.500 0.500 0.722

12.
# Ca2MgOs (GGA-PBEsol, optimized geometry)
# D(E_F): 3.96 states/eV/cell
# formation energy from the elements: 0.350 eV/atom
data_Ca2MgOs
_space_group_name_H-M_alt 'P 4/m m m'
_space_group_IT_number 123
_space_group_name_Hall '-P 4 2'
_cell_length_a 3.345
_cell_length_b 3.345
_cell_length_c 8.687
_cell_angle_alpha 90.00
_cell_angle_beta 90.00
_cell_angle_gamma 90.00
loop_
_atom_site_label
_atom_site_fract_x
_atom_site_fract_y
_atom_site_fract_z
Ca1 0.000 0.000 0.194
Mg1 0.500 0.500 0.500
Os1 0.500 0.500 0.000

13.
# CaMgOs2 (GGA-PBEsol, optimized geometry)
# D(E_F): 6.00 states/eV/cell
# formation energy from the elements: 0.550 eV/atom
data_CaMgOs2
_space_group_name_H-M_alt 'C m m m'
_space_group_IT_number 65
_space_group_name_Hall '-C 2 2'
_cell_length_a 3.069
_cell_length_b 4.585
_cell_length_c 9.229
_cell_angle_alpha 90.00
_cell_angle_beta 90.00
_cell_angle_gamma 90.00
loop_
_atom_site_label
_atom_site_fract_x
_atom_site_fract_y
_atom_site_fract_z
Ca1 0.000 0.000 0.000
Mg1 0.000 0.000 0.500
Os1 0.000 0.500 0.262

no.,total DFT energy (no corrections) (eV per atom)
1,-7.366
2,-7.431
3,-7.504
4,-7.321
5,-6.196
6,-6.371
7,-3.596
8,-6.137
9,-6.137
10,-3.121
11,-6.758
12,-4.200
13,-6.521